# MgScTcMo

An optimized crystal structure of MgScTcMo (PBE, Alexandria via LeMat-Bulk).

Cell: 4.5817 4.5817 4.5817 Å, 60.00 60.00 60.00°
Last column: nearest neighbours and their distance in Å.
Sites, in units of the cell vectors:
Mg  0.0000  0.0000  0.0000  4 Sc 2.81, 4 Mo 2.81
Sc  0.7500  0.7500  0.7500  4 Tc 2.81, 4 Mg 2.81
Tc  0.5000  0.5000  0.5000  4 Mo 2.81, 4 Sc 2.81
Mo  0.2500  0.2500  0.2500  4 Tc 2.81, 4 Mg 2.81

Summary:
calculated formation energy = 0.14 eV/f.u.
total moment = 0.00 μB per formula unit
volume = 68 Å³ per cell
SG = F-43m, No. 216
final energy = -7.246 eV per atom